Record 1
This record from Alexandria describes an optimized crystal structure of NdBiSb. The functional is GGA-PBE.

Properties
Energy above the most stable polymorph in this dataset ... 311 meV/atom
Formation energy from raw total energies ... -0.39 eV per atom

POSCAR file:
```
NdBiSb
1.0
5.261 0.000 0.000
-2.630 4.556 0.000
0.000 0.000 3.982
Nd Bi Sb
1 1 1
Direct
0.000 0.000 0.000
0.667 0.333 0.499
0.333 0.667 0.502
```

=====

Record 2
This record from Alexandria describes an optimized crystal structure of Nd2BiSb. The functional is GGA-PBE.

Properties
Energy above the most stable polymorph in this dataset ... 106 meV/atom
Formation energy from raw total energies ... -0.96 eV per atom

POSCAR file:
```
Nd2BiSb
1.0
2.265 1.308 7.745
-2.265 1.308 7.745
0.000 -2.616 7.745
Nd Bi Sb
2 1 1
Direct
0.000 0.000 0.000
0.175 0.175 0.175
0.755 0.755 0.755
0.586 0.586 0.586
```

=====

Record 3
This record from Alexandria describes an optimized crystal structure of NdBiSb2. The functional is GGA-PBE.

Properties
Energy above the most stable polymorph in this dataset ... 21 meV/atom
Formation energy from raw total energies ... -0.49 eV per atom

POSCAR file:
```
NdBiSb2
1.0
5.259 0.000 0.000
0.000 5.259 0.000
0.000 0.000 4.239
Nd Bi Sb
1 1 2
Direct
0.000 0.000 0.000
0.500 0.500 0.000
0.000 0.500 0.500
0.500 0.000 0.500
```

=====

Record 4
This record from Alexandria describes an optimized crystal structure of Nd4BiSb3. The functional is GGA-PBE.

Properties
Formation energy from raw total energies ... -1.13 eV per atom

POSCAR file:
```
Nd4BiSb3
1.0
6.425 0.000 0.000
0.000 6.425 0.000
0.000 0.000 6.425
Nd Bi Sb
4 1 3
Direct
0.000 0.000 0.000
0.000 0.500 0.500
0.500 0.000 0.500
0.500 0.500 0.000
0.500 0.500 0.500
0.000 0.000 0.500
0.000 0.500 0.000
0.500 0.000 0.000
```

=====

Record 5
This record from Alexandria describes an optimized crystal structure of Nd8Bi2Sb. The functional is GGA-PBE.

Properties
Formation energy from raw total energies ... -0.47 eV per atom

POSCAR file:
```
Nd8Bi2Sb
1.0
9.546 -2.430 0.000
9.546 2.430 0.000
-0.315 0.000 8.004
Nd Bi Sb
8 2 1
Direct
0.005 0.005 0.251
0.217 0.217 0.365
0.337 0.337 0.951
0.403 0.403 0.482
0.597 0.597 0.518
0.663 0.663 0.049
0.783 0.783 0.635
0.995 0.995 0.749
0.173 0.173 0.777
0.827 0.827 0.223
0.500 0.500 0.000
```

=====

Record 6
This record from Alexandria describes an optimized crystal structure of Nd3Bi2Sb. The functional is GGA-PBE.

Properties
Formation energy from raw total energies ... -1.03 eV per atom

POSCAR file:
```
Nd3Bi2Sb
1.0
-2.291 3.236 6.874
2.291 -3.236 6.874
2.291 3.236 -6.874
Nd Bi Sb
3 2 1
Direct
0.000 0.000 0.000
0.337 0.337 0.000
0.663 0.663 0.000
0.168 0.668 0.500
0.832 0.332 0.500
0.500 0.000 0.500
```

=====

Record 7
This record from Alexandria describes an optimized crystal structure of NdBiSb. The functional is GGA-PBE.

Properties
Energy above the most stable polymorph in this dataset ... 0 meV/atom
Formation energy from raw total energies ... -0.70 eV per atom

POSCAR file:
```
NdBiSb
1.0
2.278 -8.678 0.000
2.278 8.678 0.000
0.000 0.000 4.563
Nd Bi Sb
2 2 2
Direct
0.107 0.893 0.750
0.893 0.107 0.250
0.430 0.570 0.750
0.570 0.430 0.250
0.250 0.750 0.250
0.750 0.250 0.750
```

=====

Record 8
This record from Alexandria describes an optimized crystal structure of Nd5BiSb2. The functional is GGA-PBE.

Properties
Formation energy from raw total energies ... -0.65 eV per atom

POSCAR file:
```
Nd5BiSb2
1.0
0.000 5.749 4.196
5.079 0.000 4.196
5.079 5.749 0.000
Nd Bi Sb
5 1 2
Direct
0.000 0.000 0.000
0.040 0.536 0.464
0.093 0.530 0.907
0.530 0.093 0.470
0.536 0.040 0.960
0.598 0.598 0.402
0.037 0.037 0.463
0.537 0.537 0.963
```